Entry from the Alexandria database: crystalline VSiTe2Ru at its relaxed geometry (PBE).

## Properties
Crystal system: tetragonal
E_form (uncorrected) in eV/f.u.: 4.39
Total energy in eV/atom: -5.142

abc: 5.314 5.314 4.374
angles: 90.00 90.00 90.00
Sites, in units of the cell vectors:
V 0.000 0.000 0.000
Si 0.500 0.500 0.000
Te 0.000 0.500 0.500
Te 0.500 0.000 0.500
Ru 0.500 0.500 0.500



Entry from the Alexandria database: crystalline Th4Si3Ru at its relaxed geometry (PBE).

## Properties
Crystal system: orthorhombic
E_form (uncorrected) in eV/f.u.: -5.14
Total energy in eV/atom: -7.546

abc: 4.097 4.276 10.945
angles: 90.00 90.00 90.00
Sites, in units of the cell vectors:
Th 0.000 0.000 0.000
Th 0.000 0.500 0.495
Th 0.500 0.000 0.276
Th 0.500 0.500 0.781
Si 0.000 0.000 0.707
Si 0.000 0.500 0.206
Si 0.500 0.000 0.560
Ru 0.500 0.500 0.053



Entry from the Alexandria database: crystalline Th2Si5Ru3 at its relaxed geometry (PBE).

## Properties
Crystal system: monoclinic
E_form (uncorrected) in eV/f.u.: -8.74
Total energy in eV/atom: -7.853

abc: 8.242 8.242 5.856
angles: 109.66 109.66 93.64
Sites, in units of the cell vectors:
Th 0.100 0.366 0.239
Th 0.366 0.100 0.739
Th 0.634 0.900 0.261
Th 0.900 0.634 0.761
Si 0.011 0.989 0.750
Si 0.240 0.442 0.840
Si 0.276 0.724 0.750
Si 0.291 0.709 0.250
Si 0.442 0.240 0.340
Si 0.558 0.760 0.660
Si 0.709 0.291 0.750
Si 0.724 0.276 0.250
Si 0.760 0.558 0.160
Si 0.989 0.011 0.250
Ru 0.043 0.758 0.368
Ru 0.242 0.957 0.132
Ru 0.498 0.502 0.250
Ru 0.502 0.498 0.750
Ru 0.758 0.043 0.868
Ru 0.957 0.242 0.632